First-principles (PBE) data for Sr5W after structural relaxation, as listed in Alexandria.

Properties
DFT formation energy ... 640 meV per atom
E above lowest polymorph ... 0 meV/atom
Space group ... C2/m, No. 12

Geometry as POSCAR:
```
Sr5W
1.0
-3.377 3.406 -5.557
-2.756 -0.366 -6.794
-9.904 -1.668 0.117
Sr W
5 1
Direct
0.967 0.967 0.615
0.306 0.306 0.389
0.934 0.934 0.015
0.677 0.677 0.763
0.644 0.644 0.163
0.306 0.306 0.889
```

First-principles (PBE) data for Mg2ZnPb after structural relaxation, as listed in Alexandria.

Properties
DFT formation energy ... 3 meV per atom
Space group ... P1, No. 1

Geometry as POSCAR:
```
Mg2ZnPb
1.0
-4.783 0.180 2.337
-0.389 -0.857 5.354
2.316 6.716 4.268
Zn Mg Pb
2 4 2
Direct
0.645 0.579 0.032
0.143 0.579 0.032
0.195 0.979 0.701
0.169 0.028 0.104
0.870 0.630 0.709
0.591 0.186 0.879
0.717 0.931 0.295
0.468 0.431 0.484
```

First-principles (PBE) data for Na3Np3BiS8 after structural relaxation, as listed in Alexandria.

Properties
Space group ... R-3m, No. 166
Formation energy (no corrections) ... -17.73 eV per formula unit

Geometry as POSCAR:
```
Na3Np3BiS8
1.0
8.060 0.000 0.000
-4.030 6.980 -0.026
0.000 -4.631 6.675
Np S Na Bi
3 8 3 1
Direct
0.500 0.500 0.500
0.000 0.500 0.500
0.500 0.000 0.500
0.268 0.021 0.275
0.258 0.517 0.275
0.753 0.021 0.275
0.732 0.979 0.725
0.742 0.483 0.725
0.247 0.494 0.725
0.247 0.979 0.725
0.753 0.506 0.275
0.000 0.000 0.000
0.500 0.500 0.000
0.000 0.500 0.000
0.000 0.000 0.500
```

First-principles (PBE) data for Nd7Ho2Er2 after structural relaxation, as listed in Alexandria.

Properties
DFT formation energy ... 139 meV per atom
E above lowest polymorph ... 41 meV/atom
Space group ... C2/m, No. 12

Geometry as POSCAR:
```
Nd7Ho2Er2
1.0
-0.051 -3.554 4.979
3.035 -7.135 -2.429
6.930 1.672 3.898
Nd Er Ho
7 2 2
Direct
0.819 0.951 0.414
0.800 0.425 0.425
0.181 0.586 0.049
0.200 0.575 0.575
0.819 0.414 0.951
0.181 0.049 0.586
0.000 0.000 0.000
0.500 0.785 0.215
0.500 0.215 0.785
0.410 0.228 0.228
0.590 0.772 0.772
```

| no. | E_tot (eV per cell) |
| --- | --- |
| 1 | -17.5 |
| 2 | -16.3 |
| 3 | -97.4 |
| 4 | -50.1 |